Record 1
Here is crystalline NaY2Sn2 at its relaxed geometry from the Alexandria database. Energies are from GGA-PBE.

Cell lengths 9.094, 9.094, 3.535 Å; angles 90.00, 90.00, 90.00 degrees
Atoms (fractional coordinates):
Na: 0.000 0.000 0.000
Na: 0.500 0.500 0.000
Y: 0.138 0.362 0.500
Y: 0.362 0.862 0.500
Y: 0.638 0.138 0.500
Y: 0.862 0.638 0.500
Sn: 0.162 0.662 0.000
Sn: 0.338 0.162 0.000
Sn: 0.662 0.838 0.000
Sn: 0.838 0.338 0.000

Values from the calculation:
energy above the lowest structure with this stoichiometry	0.000	eV/f.u.
energy of formation from the pure elements	-0.514	eV per atom
E_tot	-49.6	eV for the cell shown

***

Record 2
Here is crystalline Na3YSn at its relaxed geometry from the Alexandria database. Energies are from GGA-PBE.

Cell lengths 5.729, 5.729, 5.729 Å; angles 90.00, 90.00, 90.00 degrees
Atoms (fractional coordinates):
Na: 0.000 0.000 0.500
Na: 0.000 0.500 0.000
Na: 0.500 0.000 0.000
Y: 0.500 0.500 0.500
Sn: 0.000 0.000 0.000

Values from the calculation:
energy above the lowest structure with this stoichiometry	0.000	eV/f.u.
energy of formation from the pure elements	0.462	eV per atom
E_tot	-12.1	eV for the cell shown

***

Record 3
Here is crystalline NaYSn3 at its relaxed geometry from the Alexandria database. Energies are from GGA-PBE.

Cell lengths 5.819, 5.819, 5.819 Å; angles 90.00, 90.00, 90.00 degrees
Atoms (fractional coordinates):
Na: 0.000 0.000 0.000
Y: 0.500 0.500 0.500
Sn: 0.000 0.500 0.500
Sn: 0.500 0.000 0.500
Sn: 0.500 0.500 0.000

Values from the calculation:
energy above the lowest structure with this stoichiometry	2.800	eV/f.u.
energy of formation from the pure elements	0.205	eV per atom
E_tot	-18.8	eV for the cell shown

***

Record 4
Here is crystalline NaYSn at its relaxed geometry from the Alexandria database. Energies are from GGA-PBE.

Cell lengths 9.542, 9.542, 9.542 Å; angles 31.32, 31.32, 31.32 degrees
Atoms (fractional coordinates):
Na: 0.000 0.000 0.000
Na: 0.260 0.260 0.260
Y: 0.492 0.492 0.492
Y: 0.747 0.747 0.747
Sn: 0.144 0.144 0.144
Sn: 0.375 0.375 0.375

Values from the calculation:
energy above the lowest structure with this stoichiometry	0.656	eV/f.u.
energy of formation from the pure elements	-0.280	eV per atom
E_tot	-25.3	eV for the cell shown

***

What did the first record say?
Here is crystalline NaY2Sn2 at its relaxed geometry from the Alexandria database. Energies are from GGA-PBE.

Cell lengths 9.094, 9.094, 3.535 Å; angles 90.00, 90.00, 90.00 degrees
Atoms (fractional coordinates):
Na: 0.000 0.000 0.000
Na: 0.500 0.500 0.000
Y: 0.138 0.362 0.500
Y: 0.362 0.862 0.500
Y: 0.638 0.138 0.500
Y: 0.862 0.638 0.500
Sn: 0.162 0.662 0.000
Sn: 0.338 0.162 0.000
Sn: 0.662 0.838 0.000
Sn: 0.838 0.338 0.000

Values from the calculation:
energy above the lowest structure with this stoichiometry	0.000	eV/f.u.
energy of formation from the pure elements	-0.514	eV per atom
E_tot	-49.6	eV for the cell shown

***

The highest energy of formation from the pure elements belongs to which entry?
Na3YSn

***

Among the records above, which one has the highest E_tot?
Na3YSn